RbSb2CI: relaxed, PBE-GGA.

Results
- Space group: P4/mmm
- Electronic total energy: -3.432 eV/atom
- Calculated density: 3.8 g/cm3
- Formation energy without anion corrections: 0.565 eV per atom

Cell lengths 4.695, 4.695, 9.370 Å; angles 90.00, 90.00, 90.00 degrees
Atoms (fractional coordinates):
1 I 0.000 0.000 0.500
2 Sb 0.500 0.000 0.000
3 Sb 0.000 0.500 0.000
4 Rb 0.500 0.500 0.500
5 C 0.000 0.000 0.000

Be2AgCl: relaxed, PBE-GGA.

Results
- Offset from the most stable computed form: 943 meV per atom
- Space group: Fm-3m
- Electronic total energy: -2.059 eV/atom
- Calculated density: 4.3 g/cm3
- Formation energy without anion corrections: 0.979 eV per atom

Cell lengths 4.436, 4.436, 4.436 Å; angles 60.00, 60.00, 60.00 degrees
Atoms (fractional coordinates):
1 Cl 0.000 0.000 0.000
2 Be 0.750 0.750 0.750
3 Be 0.250 0.250 0.250
4 Ag 0.500 0.500 0.500

Fe3Si4: relaxed, PBE-GGA.

Results
- Offset from the most stable computed form: 0 meV per atom
- Space group: I4/mmm
- Electronic total energy: -7.039 eV/atom
- Calculated density: 5.7 g/cm3
- Formation energy without anion corrections: -0.313 eV per atom

Cell lengths 9.006, 9.006, 9.006 Å; angles 160.50, 160.50, 27.72 degrees
Each line ends with the local moment (μB).
Atoms (fractional coordinates):
1 Si 0.152 0.152 0.000  -0.04
2 Si 0.570 0.570 0.000  -0.01
3 Si 0.848 0.848 0.000  -0.04
4 Si 0.430 0.430 0.000  -0.01
5 Fe 0.297 0.297 0.000  1.34
6 Fe 0.000 0.000 0.000  1.07
7 Fe 0.703 0.703 0.000  1.34

BeVAgPt2: relaxed, PBE-GGA.

Results
- Offset from the most stable computed form: 0 meV per atom
- Space group: P4/mmm
- Electronic total energy: -5.278 eV/atom
- Calculated density: 12.0 g/cm3

Cell lengths 4.213, 4.347, 4.213 Å; angles 90.00, 90.00, 90.00 degrees
Atoms (fractional coordinates):
1 V 0.500 0.500 0.500
2 Pt 0.500 0.000 0.000
3 Pt 0.000 0.000 0.500
4 Ag 0.000 0.500 0.000
5 Be 0.000 0.000 0.000

Cs2BaOs3O12: relaxed, PBE-GGA.

Results
- Space group: R-3m
- Electronic total energy: -6.763 eV/atom
- Calculated density: 6.6 g/cm3
- Formation energy without anion corrections: -1.385 eV per atom

Cell lengths 7.467, 7.467, 7.467 Å; angles 60.09, 60.09, 60.09 degrees
Atoms (fractional coordinates):
1 O 0.103 0.723 0.723
2 O 0.545 0.123 0.123
3 O 0.723 0.723 0.103
4 O 0.877 0.877 0.455
5 O 0.123 0.123 0.545
6 O 0.277 0.897 0.277
7 O 0.877 0.455 0.877
8 O 0.723 0.103 0.723
9 O 0.897 0.277 0.277
10 O 0.455 0.877 0.877
11 O 0.123 0.545 0.123
12 O 0.277 0.277 0.897
13 Os 0.500 0.000 0.000
14 Os 0.000 0.500 0.000
15 Os 0.000 0.000 0.500
16 Cs 0.604 0.604 0.604
17 Cs 0.396 0.396 0.396
18 Ba 0.000 0.000 0.000

AgPd2Pb4: relaxed, PBE-GGA.

Results
- Space group: P1
- Electronic total energy: -4.104 eV/atom
- Calculated density: 11.3 g/cm3

Cell lengths 7.409, 8.331, 7.524 Å; angles 122.50, 101.06, 106.83 degrees
Atoms (fractional coordinates):
1 Pb 0.926 0.698 0.173
2 Pb 0.487 0.553 0.244
3 Pb 0.232 0.033 0.755
4 Pb 0.753 0.167 0.732
5 Pb 0.076 0.246 0.500
6 Pb 0.469 0.743 0.771
7 Pb 0.382 0.075 0.267
8 Pb 0.855 0.574 0.643
9 Pd 0.205 0.596 0.973
10 Pd 0.667 0.896 0.228
11 Pd 0.656 0.243 0.119
12 Pd 0.504 0.399 0.791
13 Ag 0.100 0.494 0.308
14 Ag 0.939 0.033 0.994

Be2AuBr: relaxed, PBE-GGA.

Results
- Offset from the most stable computed form: 462 meV per atom
- Space group: P4/mmm
- Electronic total energy: -2.785 eV/atom
- Calculated density: 7.5 g/cm3
- Formation energy without anion corrections: 0.316 eV per atom

Cell lengths 3.182, 3.182, 6.434 Å; angles 90.00, 90.00, 90.00 degrees
Atoms (fractional coordinates):
1 Be 0.000 0.000 0.575
2 Be 0.000 0.000 0.925
3 Au 0.500 0.500 0.750
4 Br 0.500 0.500 0.250

KPtSe4: relaxed, PBE-GGA.

Results
- Space group: F-43m
- Electronic total energy: -3.117 eV/atom
- Calculated density: 6.7 g/cm3
- Formation energy without anion corrections: 0.396 eV per atom

Cell lengths 5.779, 5.779, 5.779 Å; angles 60.00, 60.00, 60.00 degrees
Atoms (fractional coordinates):
1 K 0.750 0.750 0.750
2 Pt 0.000 0.000 0.000
3 Se 0.373 0.373 0.373
4 Se 0.373 0.882 0.373
5 Se 0.373 0.373 0.882
6 Se 0.882 0.373 0.373

- Which of these has the lowest electronic total energy?
  Fe3Si4

What did the fifth record say?
Cs2BaOs3O12: relaxed, PBE-GGA.

Results
- Space group: R-3m
- Electronic total energy: -6.763 eV/atom
- Calculated density: 6.6 g/cm3
- Formation energy without anion corrections: -1.385 eV per atom

Cell lengths 7.467, 7.467, 7.467 Å; angles 60.09, 60.09, 60.09 degrees
Atoms (fractional coordinates):
1 O 0.103 0.723 0.723
2 O 0.545 0.123 0.123
3 O 0.723 0.723 0.103
4 O 0.877 0.877 0.455
5 O 0.123 0.123 0.545
6 O 0.277 0.897 0.277
7 O 0.877 0.455 0.877
8 O 0.723 0.103 0.723
9 O 0.897 0.277 0.277
10 O 0.455 0.877 0.877
11 O 0.123 0.545 0.123
12 O 0.277 0.277 0.897
13 Os 0.500 0.000 0.000
14 Os 0.000 0.500 0.000
15 Os 0.000 0.000 0.500
16 Cs 0.604 0.604 0.604
17 Cs 0.396 0.396 0.396
18 Ba 0.000 0.000 0.000

- The highest calculated density belongs to which entry?
  BeVAgPt2